Version one
The following is a PBE calculation of crystalline HoTc2Ge2 at its relaxed geometry, from Alexandria via LeMat-Bulk.

Fermi-level density of states (states/eV per atom): 0.8065
Symmetry: No. 15
Total moment (μB/cell): 0.00

Cell: 5.7853 5.7853 7.3985 Å, 100.30 100.30 122.78°
Sites, in units of the cell vectors:
Ho 0.1249 0.8751 0.7500
Ho 0.8751 0.1249 0.2500
Tc 0.2655 0.5156 0.0316
Tc 0.4844 0.7345 0.4684
Tc 0.5156 0.2655 0.5316
Tc 0.7345 0.4844 0.9684
Ge 0.1789 0.8211 0.2500
Ge 0.4290 0.5710 0.7500
Ge 0.5710 0.4290 0.2500
Ge 0.8211 0.1789 0.7500

Version two
The following is a PBE calculation of crystalline HoTc2Ge2 at its relaxed geometry, from Alexandria via LeMat-Bulk.

Fermi-level density of states (states/eV per atom): 0.3762
Symmetry: No. 12
Total moment (μB/cell): 0.00

Cell: 11.0242 11.0242 4.1917 Å, 99.10 99.10 21.56°
Sites, in units of the cell vectors:
Ho 0.1511 0.1511 0.3671
Ho 0.8489 0.8489 0.6329
Tc 0.0355 0.0355 0.7790
Tc 0.4629 0.4629 0.7182
Tc 0.5371 0.5371 0.2818
Tc 0.9645 0.9645 0.2210
Ge 0.2735 0.2735 0.1526
Ge 0.3914 0.3914 0.1569
Ge 0.6086 0.6086 0.8431
Ge 0.7265 0.7265 0.8474

So which one wins? Going from most stable to least: version two, version one.

Version one
The following is a PBE calculation of crystalline Ho5Tl2Ge at its relaxed geometry, from Alexandria via LeMat-Bulk.

Fermi-level density of states (states/eV per atom): 1.2216
Symmetry: No. 44
Total moment (μB/cell): 0.00

Cell: 6.6160 6.6160 6.6160 Å, 118.59 93.82 117.06°
Sites, in units of the cell vectors:
Ho 0.0000 0.0000 0.0000
Ho 0.5000 0.4939 0.5032
Ho 0.5000 0.9968 0.0061
Ho 0.9907 0.4939 0.9939
Ho 0.9907 0.9968 0.4968
Tl 0.4815 0.9815 0.5000
Tl 0.4924 0.4924 0.0000
Ge 0.9964 0.4964 0.5000

Version two
The following is a PBE calculation of crystalline Ho5Tl2Ge at its relaxed geometry, from Alexandria via LeMat-Bulk.

Fermi-level density of states (states/eV per atom): 0.6323
Symmetry: No. 55
Total moment (μB/cell): 0.00

Cell: 7.0609 12.5970 4.9016 Å, 90.00 90.00 90.00°
Sites, in units of the cell vectors:
Ho 0.0000 0.0000 0.0000
Ho 0.1414 0.2807 0.0000
Ho 0.1708 0.5877 0.5000
Ho 0.3292 0.0877 0.5000
Ho 0.3586 0.7807 0.0000
Ho 0.5000 0.5000 0.0000
Ho 0.6414 0.2193 0.0000
Ho 0.6708 0.9123 0.5000
Ho 0.8292 0.4123 0.5000
Ho 0.8586 0.7193 0.0000
Tl 0.0988 0.8395 0.5000
Tl 0.4012 0.3395 0.5000
Tl 0.5988 0.6605 0.5000
Tl 0.9012 0.1605 0.5000
Ge 0.0000 0.5000 0.0000
Ge 0.5000 0.0000 0.0000

So which one wins? Going from most stable to least: version two, version one.

Version one
The following is a PBE calculation of crystalline YHoZnGe at its relaxed geometry, from Alexandria via LeMat-Bulk.

Fermi-level density of states (states/eV per atom): 0.5395
Symmetry: No. 216
Total moment (μB/cell): 0.00

Cell: 5.0132 5.0132 5.0132 Å, 60.00 60.00 60.00°
Sites, in units of the cell vectors:
Y 0.0000 0.0000 0.0000
Ho 0.5000 0.5000 0.5000
Zn 0.7500 0.7500 0.7500
Ge 0.2500 0.2500 0.2500

Version two
The following is a PBE calculation of crystalline YHoZnGe at its relaxed geometry, from Alexandria via LeMat-Bulk.

Fermi-level density of states (states/eV per atom): 0.9344
Symmetry: No. 38
Total moment (μB/cell): 0.29

Cell: 4.1044 5.8128 5.8128 Å, 42.30 90.00 90.00°
Sites, in units of the cell vectors:
Y 0.0000 0.0000 0.0000
Ho 0.5000 0.2818 0.2818
Zn 0.5000 0.5665 0.5665
Ge 0.0000 0.7187 0.7187

So which one wins? Going from most stable to least: version two, version one.

Version one
The following is a PBE calculation of crystalline GeI at its relaxed geometry, from Alexandria via LeMat-Bulk.

Symmetry: No. 62
Total moment (μB/cell): 0.00

Cell: 8.8444 8.5012 7.6893 Å, 90.00 90.00 90.00°
Sites, in units of the cell vectors:
Ge 0.0154 0.2500 0.0022
Ge 0.1096 0.7500 0.6868
Ge 0.3904 0.2500 0.1868
Ge 0.4846 0.7500 0.5022
Ge 0.5154 0.2500 0.4978
Ge 0.6096 0.7500 0.8132
Ge 0.8904 0.2500 0.3132
Ge 0.9846 0.7500 0.9978
I 0.1464 0.0081 0.2345
I 0.1464 0.4919 0.2345
I 0.3536 0.5081 0.7345
I 0.3536 0.9919 0.7345
I 0.6464 0.0081 0.2655
I 0.6464 0.4919 0.2655
I 0.8536 0.5081 0.7655
I 0.8536 0.9919 0.7655

Version two
The following is a PBE calculation of crystalline GeI at its relaxed geometry, from Alexandria via LeMat-Bulk.

Fermi-level density of states (states/eV per atom): 0.1152
Symmetry: No. 2
Total moment (μB/cell): 0.00

Cell: 4.3719 5.7141 7.4776 Å, 90.93 105.93 111.77°
Sites, in units of the cell vectors:
Ge 0.1718 0.3736 0.4641
Ge 0.8282 0.6264 0.5359
I 0.2208 0.1660 0.7826
I 0.7792 0.8340 0.2174

Version three
The following is a PBE calculation of crystalline GeI at its relaxed geometry, from Alexandria via LeMat-Bulk.

Fermi-level density of states (states/eV per atom): 1.3200
Symmetry: No. 194
Total moment (μB/cell): 0.32

Cell: 5.3080 5.3080 6.2910 Å, 90.00 90.00 120.00°
Sites, in units of the cell vectors:
Ge 0.3333 0.6667 0.2500
Ge 0.6667 0.3333 0.7500
I 0.3333 0.6667 0.7500
I 0.6667 0.3333 0.2500

So which one wins? Going from most stable to least: version two, version one, version three.